1.
Here is KBiP4O12 at its PBEsol-relaxed geometry from Alexandria. Energies are from meta-GGA SCAN.

Output
The spin magnetization is 0.000 μB per cell. The value obtained for the uncorrected formation energy is -41.3 eV per formula unit. The crystal system is monoclinic.

Structure (CIF):
```
data_KBiP4O12
_chemical_formula_sum 'K4 Bi4 P16 O48'
_symmetry_space_group_name_H-M 'P 1'
_symmetry_Int_Tables_number 1
_cell_length_a 9.043
_cell_length_b 10.473
_cell_length_c 10.791
_cell_angle_alpha 105.80
_cell_angle_beta 90.00
_cell_angle_gamma 90.00
loop_
_symmetry_equiv_pos_as_xyz
'x,y,z'
loop_
_atom_site_label
_atom_site_fract_x
_atom_site_fract_y
_atom_site_fract_z
_atom_site_occupancy
K1 0.927 0.710 0.955 1
K2 0.573 0.210 0.455 1
K3 0.427 0.790 0.545 1
K4 0.073 0.290 0.045 1
Bi1 0.226 0.501 0.687 1
Bi2 0.774 0.499 0.313 1
Bi3 0.726 0.999 0.813 1
Bi4 0.274 0.001 0.187 1
P1 0.106 0.179 0.482 1
P2 0.978 0.252 0.735 1
P3 0.894 0.821 0.518 1
P4 0.670 0.961 0.143 1
P5 0.830 0.461 0.643 1
P6 0.522 0.752 0.235 1
P7 0.606 0.321 0.018 1
P8 0.170 0.539 0.357 1
P9 0.405 0.355 0.241 1
P10 0.095 0.855 0.741 1
P11 0.905 0.145 0.259 1
P12 0.478 0.248 0.765 1
P13 0.394 0.679 0.982 1
P14 0.022 0.748 0.265 1
P15 0.330 0.039 0.857 1
P16 0.595 0.645 0.759 1
O1 0.152 0.682 0.329 1
O2 0.205 0.979 0.751 1
O3 0.034 0.455 0.318 1
O4 0.316 0.240 0.255 1
O5 0.548 0.354 0.889 1
O6 0.464 0.603 0.672 1
O7 0.452 0.646 0.111 1
O8 0.765 0.432 0.511 1
O9 0.964 0.897 0.828 1
O10 0.295 0.479 0.251 1
O11 0.550 0.666 0.907 1
O12 0.347 0.821 0.015 1
O13 0.036 0.103 0.172 1
O14 0.848 0.318 0.671 1
O15 0.534 0.045 0.182 1
O16 0.966 0.545 0.682 1
O17 0.536 0.397 0.328 1
O18 0.910 0.643 0.202 1
O19 0.950 0.166 0.407 1
O20 0.089 0.824 0.181 1
O21 0.952 0.854 0.389 1
O22 0.652 0.818 0.171 1
O23 0.795 0.021 0.249 1
O24 0.789 0.928 0.585 1
O25 0.265 0.068 0.989 1
O26 0.735 0.932 0.011 1
O27 0.589 0.676 0.319 1
O28 0.684 0.760 0.745 1
O29 0.050 0.834 0.593 1
O30 0.653 0.179 0.985 1
O31 0.410 0.857 0.298 1
O32 0.211 0.072 0.415 1
O33 0.590 0.143 0.702 1
O34 0.289 0.572 0.915 1
O35 0.348 0.182 0.829 1
O36 0.235 0.568 0.489 1
O37 0.711 0.428 0.085 1
O38 0.411 0.324 0.681 1
O39 0.048 0.146 0.611 1
O40 0.090 0.357 0.798 1
O41 0.816 0.260 0.245 1
O42 0.705 0.521 0.749 1
O43 0.184 0.740 0.755 1
O44 0.466 0.955 0.818 1
O45 0.911 0.176 0.819 1
O46 0.450 0.334 0.093 1
O47 0.153 0.321 0.515 1
O48 0.847 0.679 0.485 1
```



2.
Here is K3Bi2P3O12 at its PBEsol-relaxed geometry from Alexandria. Energies are from meta-GGA SCAN.

Output
The spin magnetization is 0.000 μB per cell. The value obtained for the uncorrected formation energy is -45.4 eV per formula unit. The crystal system is monoclinic.

Structure (CIF):
```
data_K3Bi2P3O12
_chemical_formula_sum 'K6 Bi4 P6 O24'
_symmetry_space_group_name_H-M 'P 1'
_symmetry_Int_Tables_number 1
_cell_length_a 6.798
_cell_length_b 9.576
_cell_length_c 9.576
_cell_angle_alpha 88.64
_cell_angle_beta 72.65
_cell_angle_gamma 72.65
loop_
_symmetry_equiv_pos_as_xyz
'x,y,z'
loop_
_atom_site_label
_atom_site_fract_x
_atom_site_fract_y
_atom_site_fract_z
_atom_site_occupancy
K1 0.250 0.014 0.986 1
K2 0.000 0.500 0.500 1
K3 0.750 0.986 0.014 1
K4 0.250 0.276 0.724 1
K5 0.500 0.500 0.500 1
K6 0.750 0.724 0.276 1
Bi1 0.830 0.094 0.385 1
Bi2 0.330 0.385 0.094 1
Bi3 0.670 0.615 0.906 1
Bi4 0.170 0.906 0.615 1
P1 0.637 0.865 0.654 1
P2 0.250 0.755 0.245 1
P3 0.750 0.245 0.755 1
P4 0.863 0.346 0.135 1
P5 0.363 0.135 0.346 1
P6 0.137 0.654 0.865 1
O1 0.678 0.242 0.616 1
O2 0.077 0.336 0.009 1
O3 0.443 0.760 0.108 1
O4 0.057 0.892 0.240 1
O5 0.167 0.088 0.446 1
O6 0.943 0.108 0.760 1
O7 0.162 0.810 0.849 1
O8 0.838 0.190 0.151 1
O9 0.127 0.590 0.722 1
O10 0.577 0.009 0.336 1
O11 0.627 0.722 0.590 1
O12 0.333 0.554 0.912 1
O13 0.662 0.849 0.810 1
O14 0.322 0.758 0.384 1
O15 0.423 0.991 0.664 1
O16 0.923 0.664 0.991 1
O17 0.178 0.616 0.242 1
O18 0.338 0.151 0.190 1
O19 0.833 0.912 0.554 1
O20 0.373 0.278 0.410 1
O21 0.667 0.446 0.088 1
O22 0.873 0.410 0.278 1
O23 0.822 0.384 0.758 1
O24 0.557 0.240 0.892 1
```



3.
Here is KBiW2O8 at its PBEsol-relaxed geometry from Alexandria. Energies are from meta-GGA SCAN.

Output
The spin magnetization is 0.000 μB per cell. The value obtained for the uncorrected formation energy is -25.4 eV per formula unit. The crystal system is monoclinic.

Structure (CIF):
```
data_KBiW2O8
_chemical_formula_sum 'K2 Bi2 W4 O16'
_symmetry_space_group_name_H-M 'P 1'
_symmetry_Int_Tables_number 1
_cell_length_a 7.539
_cell_length_b 7.591
_cell_length_c 7.591
_cell_angle_alpha 89.04
_cell_angle_beta 62.17
_cell_angle_gamma 62.17
loop_
_symmetry_equiv_pos_as_xyz
'x,y,z'
loop_
_atom_site_label
_atom_site_fract_x
_atom_site_fract_y
_atom_site_fract_z
_atom_site_occupancy
K1 0.750 0.709 0.291 1
K2 0.250 0.291 0.709 1
Bi1 0.250 0.725 0.275 1
Bi2 0.750 0.275 0.725 1
W1 0.231 0.803 0.806 1
W2 0.731 0.806 0.803 1
W3 0.269 0.194 0.197 1
W4 0.769 0.197 0.194 1
O1 0.319 0.711 0.545 1
O2 0.181 0.455 0.289 1
O3 0.681 0.289 0.455 1
O4 0.819 0.545 0.711 1
O5 0.366 0.567 0.882 1
O6 0.134 0.118 0.433 1
O7 0.634 0.433 0.118 1
O8 0.866 0.882 0.567 1
O9 0.948 0.745 0.874 1
O10 0.552 0.126 0.255 1
O11 0.052 0.255 0.126 1
O12 0.448 0.874 0.745 1
O13 0.524 0.128 0.913 1
O14 0.976 0.087 0.872 1
O15 0.476 0.872 0.087 1
O16 0.024 0.913 0.128 1
```



4.
Here is KSrBiOs2 at its PBEsol-relaxed geometry from Alexandria. Energies are from meta-GGA SCAN.

Output
The spin magnetization is 2.636 μB per cell. As for the energy of formation: 2479.2 meV/atom. The crystal system is tetragonal.

Structure (CIF):
```
data_KSrBiOs2
_chemical_formula_sum 'K1 Sr1 Bi1 Os2'
_symmetry_space_group_name_H-M 'P 1'
_symmetry_Int_Tables_number 1
_cell_length_a 5.066
_cell_length_b 5.066
_cell_length_c 5.902
_cell_angle_alpha 90.00
_cell_angle_beta 90.00
_cell_angle_gamma 90.00
loop_
_symmetry_equiv_pos_as_xyz
'x,y,z'
loop_
_atom_site_label
_atom_site_fract_x
_atom_site_fract_y
_atom_site_fract_z
_atom_site_occupancy
Sr1 0.000 0.000 0.000 1
K1 0.500 0.500 0.500 1
Os1 0.000 0.500 0.000 1
Os2 0.500 0.000 0.000 1
Bi1 0.000 0.000 0.500 1
```



5.
Here is KBiP2Se6 at its PBEsol-relaxed geometry from Alexandria. Energies are from meta-GGA SCAN.

Output
The energy above the most stable polymorph in this dataset comes out at 5.4 meV per atom. The spin magnetization is 0.000 μB per cell. The value obtained for the uncorrected formation energy is -4.5 eV per formula unit. The crystal system is monoclinic.

Structure (CIF):
```
data_KBiP2Se6
_chemical_formula_sum 'K2 Bi2 P4 Se12'
_symmetry_space_group_name_H-M 'P 1'
_symmetry_Int_Tables_number 1
_cell_length_a 6.866
_cell_length_b 7.532
_cell_length_c 10.251
_cell_angle_alpha 90.00
_cell_angle_beta 91.86
_cell_angle_gamma 90.00
loop_
_symmetry_equiv_pos_as_xyz
'x,y,z'
loop_
_atom_site_label
_atom_site_fract_x
_atom_site_fract_y
_atom_site_fract_z
_atom_site_occupancy
K1 0.698 0.045 0.497 1
K2 0.302 0.545 0.503 1
Bi1 0.788 0.269 0.986 1
Bi2 0.212 0.769 0.014 1
P1 0.688 0.755 0.825 1
P2 0.312 0.255 0.175 1
P3 0.202 0.030 0.297 1
P4 0.798 0.530 0.703 1
Se1 0.646 0.632 0.021 1
Se2 0.174 0.116 0.495 1
Se3 0.929 0.952 0.823 1
Se4 0.420 0.822 0.268 1
Se5 0.586 0.352 0.261 1
Se6 0.580 0.322 0.732 1
Se7 0.065 0.440 0.816 1
Se8 0.935 0.940 0.184 1
Se9 0.826 0.616 0.505 1
Se10 0.354 0.132 0.979 1
Se11 0.071 0.452 0.177 1
Se12 0.414 0.852 0.739 1
```



6.
Here is KBiP2Se6 at its PBEsol-relaxed geometry from Alexandria. Energies are from meta-GGA SCAN.

Output
The energy above the most stable polymorph in this dataset comes out at 0.0 meV per atom. The spin magnetization is 0.000 μB per cell. The value obtained for the uncorrected formation energy is -4.5 eV per formula unit. The crystal system is monoclinic.

Structure (CIF):
```
data_KBiP2Se6
_chemical_formula_sum 'K4 Bi4 P8 Se24'
_symmetry_space_group_name_H-M 'P 1'
_symmetry_Int_Tables_number 1
_cell_length_a 7.481
_cell_length_b 12.312
_cell_length_c 12.343
_cell_angle_alpha 110.85
_cell_angle_beta 90.00
_cell_angle_gamma 90.00
loop_
_symmetry_equiv_pos_as_xyz
'x,y,z'
loop_
_atom_site_label
_atom_site_fract_x
_atom_site_fract_y
_atom_site_fract_z
_atom_site_occupancy
K1 0.421 0.411 0.134 1
K2 0.579 0.589 0.866 1
K3 0.079 0.411 0.634 1
K4 0.921 0.589 0.366 1
Bi1 0.357 0.884 0.663 1
Bi2 0.857 0.116 0.837 1
Bi3 0.643 0.116 0.337 1
Bi4 0.143 0.884 0.163 1
P1 0.907 0.236 0.183 1
P2 0.367 0.236 0.803 1
P3 0.133 0.236 0.303 1
P4 0.867 0.764 0.697 1
P5 0.593 0.236 0.683 1
P6 0.407 0.764 0.317 1
P7 0.633 0.764 0.197 1
P8 0.093 0.764 0.817 1
Se1 0.490 0.161 0.926 1
Se2 0.757 0.591 0.619 1
Se3 0.304 0.665 0.697 1
Se4 0.675 0.887 0.816 1
Se5 0.510 0.839 0.074 1
Se6 0.825 0.887 0.316 1
Se7 0.804 0.335 0.803 1
Se8 0.196 0.665 0.197 1
Se9 0.257 0.409 0.881 1
Se10 0.496 0.307 0.555 1
Se11 0.743 0.591 0.119 1
Se12 0.189 0.948 0.888 1
Se13 0.175 0.113 0.684 1
Se14 0.504 0.693 0.445 1
Se15 0.696 0.335 0.303 1
Se16 0.689 0.052 0.612 1
Se17 0.811 0.052 0.112 1
Se18 0.325 0.113 0.184 1
Se19 0.010 0.161 0.426 1
Se20 0.990 0.839 0.574 1
Se21 0.996 0.693 0.945 1
Se22 0.311 0.948 0.388 1
Se23 0.004 0.307 0.055 1
Se24 0.243 0.409 0.381 1
```



7.
Here is KBiPb at its PBEsol-relaxed geometry from Alexandria. Energies are from meta-GGA SCAN.

Output
The spin magnetization is 0.000 μB per cell. As for the energy of formation: -376.7 meV/atom. The crystal system is orthorhombic.

Structure (CIF):
```
data_KBiPb
_chemical_formula_sum 'K2 Bi2 Pb2'
_symmetry_space_group_name_H-M 'P 1'
_symmetry_Int_Tables_number 1
_cell_length_a 6.457
_cell_length_b 6.632
_cell_length_c 6.632
_cell_angle_alpha 62.19
_cell_angle_beta 60.87
_cell_angle_gamma 60.87
loop_
_symmetry_equiv_pos_as_xyz
'x,y,z'
loop_
_atom_site_label
_atom_site_fract_x
_atom_site_fract_y
_atom_site_fract_z
_atom_site_occupancy
Pb1 0.125 0.625 0.625 1
Pb2 0.625 0.625 0.625 1
K1 0.998 0.002 0.002 1
K2 0.252 0.248 0.248 1
Bi1 0.625 0.625 0.125 1
Bi2 0.625 0.125 0.625 1
```



8.
Here is KBi2Pb2 at its PBEsol-relaxed geometry from Alexandria. Energies are from meta-GGA SCAN.

Output
The spin magnetization is 0.000 μB per cell. As for the energy of formation: -214.7 meV/atom. The crystal system is tetragonal.

Structure (CIF):
```
data_KBi2Pb2
_chemical_formula_sum 'K1 Bi2 Pb2'
_symmetry_space_group_name_H-M 'P 1'
_symmetry_Int_Tables_number 1
_cell_length_a 5.213
_cell_length_b 5.213
_cell_length_c 7.870
_cell_angle_alpha 109.34
_cell_angle_beta 109.34
_cell_angle_gamma 90.00
loop_
_symmetry_equiv_pos_as_xyz
'x,y,z'
loop_
_atom_site_label
_atom_site_fract_x
_atom_site_fract_y
_atom_site_fract_z
_atom_site_occupancy
Pb1 0.250 0.750 0.500 1
Pb2 0.750 0.250 0.500 1
K1 0.000 0.000 0.000 1
Bi1 0.385 0.385 0.770 1
Bi2 0.615 0.615 0.230 1
```



9.
Here is K2BiPd at its PBEsol-relaxed geometry from Alexandria. Energies are from meta-GGA SCAN.

Output
The spin magnetization is 0.000 μB per cell. As for the energy of formation: 171.3 meV/atom. The crystal system is cubic.

Structure (CIF):
```
data_K2BiPd
_chemical_formula_sum 'K2 Bi1 Pd1'
_symmetry_space_group_name_H-M 'P 1'
_symmetry_Int_Tables_number 1
_cell_length_a 5.541
_cell_length_b 5.541
_cell_length_c 5.541
_cell_angle_alpha 60.00
_cell_angle_beta 60.00
_cell_angle_gamma 60.00
loop_
_symmetry_equiv_pos_as_xyz
'x,y,z'
loop_
_atom_site_label
_atom_site_fract_x
_atom_site_fract_y
_atom_site_fract_z
_atom_site_occupancy
K1 0.250 0.250 0.250 1
K2 0.750 0.750 0.750 1
Bi1 0.500 0.500 0.500 1
Pd1 0.000 0.000 0.000 1
```



10.
Here is KBi2Pd2 at its PBEsol-relaxed geometry from Alexandria. Energies are from meta-GGA SCAN.

Output
The spin magnetization is 0.000 μB per cell. As for the energy of formation: -249.8 meV/atom. The crystal system is tetragonal.

Structure (CIF):
```
data_KBi2Pd2
_chemical_formula_sum 'K2 Bi4 Pd4'
_symmetry_space_group_name_H-M 'P 1'
_symmetry_Int_Tables_number 1
_cell_length_a 3.267
_cell_length_b 8.421
_cell_length_c 8.421
_cell_angle_alpha 90.00
_cell_angle_beta 90.00
_cell_angle_gamma 90.00
loop_
_symmetry_equiv_pos_as_xyz
'x,y,z'
loop_
_atom_site_label
_atom_site_fract_x
_atom_site_fract_y
_atom_site_fract_z
_atom_site_occupancy
K1 0.000 0.000 0.000 1
K2 0.000 0.500 0.500 1
Bi1 0.500 0.153 0.653 1
Bi2 0.500 0.653 0.847 1
Bi3 0.500 0.847 0.347 1
Bi4 0.500 0.347 0.153 1
Pd1 0.000 0.370 0.870 1
Pd2 0.000 0.870 0.630 1
Pd3 0.000 0.630 0.130 1
Pd4 0.000 0.130 0.370 1
```



11.
Here is K2Bi2Pt at its PBEsol-relaxed geometry from Alexandria. Energies are from meta-GGA SCAN.

Output
The spin magnetization is 0.000 μB per cell. As for the energy of formation: -370.7 meV/atom. The crystal system is tetragonal.

Structure (CIF):
```
data_K2Bi2Pt
_chemical_formula_sum 'K4 Bi4 Pt2'
_symmetry_space_group_name_H-M 'P 1'
_symmetry_Int_Tables_number 1
_cell_length_a 5.836
_cell_length_b 7.240
_cell_length_c 7.240
_cell_angle_alpha 90.00
_cell_angle_beta 90.00
_cell_angle_gamma 90.00
loop_
_symmetry_equiv_pos_as_xyz
'x,y,z'
loop_
_atom_site_label
_atom_site_fract_x
_atom_site_fract_y
_atom_site_fract_z
_atom_site_occupancy
K1 0.500 0.171 0.671 1
K2 0.500 0.671 0.829 1
K3 0.500 0.829 0.329 1
K4 0.500 0.329 0.171 1
Bi1 0.000 0.350 0.850 1
Bi2 0.000 0.850 0.650 1
Bi3 0.000 0.650 0.150 1
Bi4 0.000 0.150 0.350 1
Pt1 0.000 0.000 0.000 1
Pt2 0.000 0.500 0.500 1
```



12.
Here is KBi3Pt at its PBEsol-relaxed geometry from Alexandria. Energies are from meta-GGA SCAN.

Output
The spin magnetization is 0.000 μB per cell. As for the energy of formation: 53.0 meV/atom. The crystal system is cubic.

Structure (CIF):
```
data_KBi3Pt
_chemical_formula_sum 'K1 Bi3 Pt1'
_symmetry_space_group_name_H-M 'P 1'
_symmetry_Int_Tables_number 1
_cell_length_a 5.501
_cell_length_b 5.501
_cell_length_c 5.501
_cell_angle_alpha 90.00
_cell_angle_beta 90.00
_cell_angle_gamma 90.00
loop_
_symmetry_equiv_pos_as_xyz
'x,y,z'
loop_
_atom_site_label
_atom_site_fract_x
_atom_site_fract_y
_atom_site_fract_z
_atom_site_occupancy
K1 0.500 0.500 0.500 1
Bi1 0.000 0.500 0.000 1
Bi2 0.000 0.000 0.500 1
Bi3 0.500 0.000 0.000 1
Pt1 0.000 0.000 0.000 1
```